Below is a geometry-optimized CrGa2O structure, with properties calculated at the GGA+U level.

Values from the calculation:
Density of states at the Fermi level = 0.1739 states/eV/atom
VASP energy = -4.942 eV per atom

CIF file:
```
data_CrGa2O
_chemical_formula_sum 'Cr2 Ga4 O2'
_symmetry_space_group_name_H-M 'P 1'
_symmetry_Int_Tables_number 1
_cell_length_a 5.4965
_cell_length_b 5.4965
_cell_length_c 5.4965
_cell_angle_alpha 110.93
_cell_angle_beta 110.93
_cell_angle_gamma 106.59
loop_
_symmetry_equiv_pos_as_xyz
'x,y,z'
loop_
_atom_site_label
_atom_site_fract_x
_atom_site_fract_y
_atom_site_fract_z
Cr1 0.0000 0.0000 0.0000
Cr2 0.7500 0.2500 0.5000
Ga1 0.1950 0.6250 0.0700
Ga2 0.3750 0.4450 0.5700
Ga3 0.5550 0.1250 0.9300
Ga4 0.8750 0.8050 0.4300
O1 0.2500 0.7500 0.5000
O2 0.5000 0.5000 0.0000
```